No. 1
The following is a DFT calculation (PBE) of a relaxed GaTe2Pb crystal.

Unit cell a=4.3278 b=4.3278 c=22.4194 alpha=90.00 beta=90.00 gamma=120.00
Space group R-3m (No. 166, hexagonal axes)
One atom of each set of equivalent atoms:
Ga 0.0000 0.0000 0.0000
Te 0.0000 0.0000 0.2590
Pb 0.0000 0.0000 0.5000

Calculated values
Calculated total energy in eV per atom: -3.504
Uncorrected formation energy in kcal/mol of atoms: -5.75
Density in g cm⁻³: 7.3

=====

No. 2
The following is a DFT calculation (PBE) of a relaxed GaTe2Pb crystal.

Unit cell a=4.2311 b=4.2311 c=23.6671 alpha=90.00 beta=90.00 gamma=120.00
Space group R3m (No. 160, hexagonal axes)
One atom of each set of equivalent atoms:
Ga 0.0000 0.0000 0.0000
Te 0.0000 0.0000 0.4138
Te 0.0000 0.0000 0.6032
Pb 0.0000 0.0000 0.8308

Calculated values
Calculated total energy in eV per atom: -3.486
Uncorrected formation energy in kcal/mol of atoms: -5.33
Density in g cm⁻³: 7.2

=====

No. 3
The following is a DFT calculation (PBE) of a relaxed Ga2TePb2 crystal.

Unit cell a=8.215 b=8.215 c=4.045 alpha=90.00 beta=90.00 gamma=90.00
Space group P4/mbm (No. 127)
One atom of each set of equivalent atoms:
Ga 0.114 0.386 0.000
Te 0.000 0.000 0.000
Pb 0.196 0.696 0.500

Calculated values
Calculated total energy in eV per atom: -3.281
Uncorrected formation energy in kcal/mol of atoms: 0.96
Density in g cm⁻³: 8.3
Distance to the lowest polymorph of the same formula in meV per atom: 42.1

=====

No. 4
The following is a DFT calculation (PBE) of a relaxed Ga4TePb crystal.

Unit cell a=8.269 b=8.269 c=8.269 alpha=90.00 beta=90.00 gamma=90.00
Space group F-43m (No. 216)
One atom of each set of equivalent atoms:
Ga 0.124 0.124 0.124
Te 0.250 0.250 0.750
Pb 0.000 0.000 0.500

Calculated values
Calculated total energy in eV per atom: -3.106
Uncorrected formation energy in kcal/mol of atoms: 1.24
Density in g cm⁻³: 7.2